Entry 1:
# NiB4

A relaxed structure of NiB4 (PBE, the Alexandria database).

Geometry as POSCAR:
```
NiB4
1.0
-3.633 -2.681 -3.241
2.832 -2.781 3.891
-3.235 0.825 2.943
Ni B
3 12
direct
0.667 0.333 0.833
0.000 0.000 0.500
0.333 0.667 0.167
0.667 0.333 0.333
0.727 0.667 0.167
0.273 0.940 0.833
0.060 0.333 0.833
0.667 0.727 0.833
0.333 0.667 0.667
0.000 0.394 0.500
0.606 0.606 0.500
0.000 0.000 0.000
0.940 0.273 0.167
0.394 0.000 0.500
0.333 0.060 0.167
```

Output
The energy of formation comes out at 0.1390 eV per atom.

Entry 2:
# HgSb2Br

A relaxed structure of HgSb2Br (PBE, the Alexandria database).

Geometry as POSCAR:
```
HgSb2Br
1.0
5.351 0.011 0.000
-0.007 5.351 0.000
-2.672 -2.681 3.782
Sb Br Hg
2 1 1
direct
0.250 0.750 0.500
0.000 0.000 0.000
0.500 0.500 0.000
0.750 0.250 0.500
```

Output
For the offset from the most stable computed form, the calculation gives 214 meV per atom. The calculation puts the formation energy from raw total energies at 0.38 eV per formula unit.

Entry 3:
# LiY3Np3Se8

A relaxed structure of LiY3Np3Se8 (PBE, the Alexandria database).

Geometry as POSCAR:
```
LiY3Np3Se8
1.0
8.144 0.000 0.000
-4.072 7.053 -0.025
0.000 -4.679 6.675
Se Li Y Np
8 1 3 3
direct
0.248 0.494 0.748
0.753 0.000 0.252
0.246 0.999 0.252
0.751 0.501 0.752
0.249 0.499 0.248
0.754 0.001 0.748
0.752 0.506 0.252
0.247 0.000 0.748
0.000 0.000 0.500
0.500 0.500 0.000
0.000 0.000 0.000
0.000 0.500 0.000
0.000 0.500 0.500
0.500 0.000 0.500
0.500 0.500 0.500
```

Output
The calculation puts the formation energy from raw total energies at -21.75 eV per formula unit.

Entry 4:
# TaAu2Se

A relaxed structure of TaAu2Se (PBE, the Alexandria database).

Geometry as POSCAR:
```
TaAu2Se
1.0
-1.416 0.935 2.700
0.045 -4.238 1.491
4.581 0.797 2.127
Au Ta Se
2 1 1
direct
0.500 0.500 0.000
0.000 0.000 0.000
0.000 0.500 0.500
0.500 0.000 0.500
```

Output
The calculation puts the formation energy from raw total energies at 0.85 eV per formula unit.